First-principles (PBE) data for an optimized crystal structure of Cs2K2Re, as listed in Alexandria.

```
data_Cs2K2Re
_chemical_formula_sum 'Cs2 K2 Re1'
_space_group_name_H-M_alt 'P 1'
_space_group_IT_number 1
_space_group_name_Hall 'P 1'
_cell_length_a 5.562
_cell_length_b 5.562
_cell_length_c 11.869
_cell_angle_alpha 76.45
_cell_angle_beta 76.45
_cell_angle_gamma 90.00
loop_
_atom_site_label
_atom_site_fract_x
_atom_site_fract_y
_atom_site_fract_z
Cs1 0.750 0.250 0.500
Cs2 0.250 0.750 0.500
Re1 0.000 0.000 0.000
K1 0.422 0.422 0.156
K2 0.578 0.578 0.844
```

Space-group type: I4/mmm

=====

First-principles (PBE) data for an optimized crystal structure of Cs2KRe, as listed in Alexandria.

```
data_Cs2KRe
_chemical_formula_sum 'Cs2 K1 Re1'
_space_group_name_H-M_alt 'P 1'
_space_group_IT_number 1
_space_group_name_Hall 'P 1'
_cell_length_a 6.587
_cell_length_b 6.587
_cell_length_c 6.587
_cell_angle_alpha 60.00
_cell_angle_beta 60.00
_cell_angle_gamma 60.00
loop_
_atom_site_label
_atom_site_fract_x
_atom_site_fract_y
_atom_site_fract_z
Cs1 0.250 0.250 0.250
Cs2 0.750 0.750 0.750
Re1 0.500 0.500 0.500
K1 0.000 0.000 0.000
```

Space-group type: Fm-3m

=====

First-principles (PBE) data for an optimized crystal structure of CsKReS4, as listed in Alexandria.

```
data_CsKReS4
_chemical_formula_sum 'Cs2 K2 Re2 S8'
_space_group_name_H-M_alt 'P 1'
_space_group_IT_number 1
_space_group_name_Hall 'P 1'
_cell_length_a 6.699
_cell_length_b 7.075
_cell_length_c 10.272
_cell_angle_alpha 90.00
_cell_angle_beta 110.73
_cell_angle_gamma 90.00
loop_
_atom_site_label
_atom_site_fract_x
_atom_site_fract_y
_atom_site_fract_z
Cs1 0.639 0.750 0.894
Cs2 0.361 0.250 0.106
K1 0.790 0.750 0.489
K2 0.210 0.250 0.511
Re1 0.166 0.750 0.285
Re2 0.834 0.250 0.715
S1 0.035 0.501 0.781
S2 0.965 0.001 0.219
S3 0.965 0.499 0.219
S4 0.035 0.999 0.781
S5 0.412 0.750 0.189
S6 0.588 0.250 0.811
S7 0.311 0.750 0.514
S8 0.689 0.250 0.486
```

Space-group type: P2_1/m

=====

First-principles (PBE) data for an optimized crystal structure of CsK2ReS4, as listed in Alexandria.

```
data_CsK2ReS4
_chemical_formula_sum 'Cs1 K2 Re1 S4'
_space_group_name_H-M_alt 'P 1'
_space_group_IT_number 1
_space_group_name_Hall 'P 1'
_cell_length_a 7.186
_cell_length_b 7.186
_cell_length_c 7.186
_cell_angle_alpha 111.97
_cell_angle_beta 108.24
_cell_angle_gamma 108.24
loop_
_atom_site_label
_atom_site_fract_x
_atom_site_fract_y
_atom_site_fract_z
Cs1 0.500 0.250 0.750
K1 0.500 0.750 0.250
K2 0.000 0.000 0.000
Re1 0.000 0.500 0.500
S1 0.694 0.521 0.490
S2 0.969 0.172 0.479
S3 0.031 0.510 0.204
S4 0.306 0.796 0.828
```

Space-group type: I-4

=====

Computed VASP energy (eV per atom) in order:
-1.74 -2.27 -5.22 -4.79